# NaHfP2Cl | Alexandria | meta-GGA SCAN | PBEsol geometry
data_NaHfP2Cl
_cell_length_a 4.7382
_cell_length_b 4.7382
_cell_length_c 4.5052
_cell_angle_alpha 90.00
_cell_angle_beta 90.00
_cell_angle_gamma 90.00
_symmetry_space_group_name_H-M 'P 4/m m m'
_symmetry_Int_Tables_number 123
_symmetry_space_group_name_Hall '-P 4 2'
loop_
_atom_site_label
_atom_site_type_symbol
_atom_site_fract_x
_atom_site_fract_y
_atom_site_fract_z
Na1 Na 0.0000 0.0000 0.0000
Hf1 Hf 0.5000 0.5000 0.5000
P1 P 0.0000 0.5000 0.0000
Cl1 Cl 0.0000 0.0000 0.5000
# * formation energy from raw total energies: 71.9 kJ per mole of atoms